Entry 1:
A relaxed structure of MgOsSCl2, computed with PBE-GGA.

Results
The value obtained for the magnetization is 0.00 Bohr magnetons per cell. As for the space-group type: No. 123. For the mass density, the calculation gives 4.797 g cm⁻³. The formation energy without anion corrections comes out at 0.048 eV per atom. The polymorph energy (0 for the lowest one) comes out at 0 meV/atom.

Cell: 4.9608 4.9608 4.4661 Å, 90.00 90.00 90.00°
Closest atoms and distances in Å follow each position.
Sites, in units of the cell vectors:
Mg 0.0000 0.0000 0.0000  8 Cl 3.34, 4 S 3.51
Os 0.5000 0.5000 0.5000  2 S 2.23, 4 Cl 2.48
S 0.5000 0.5000 0.0000  2 Os 2.23
Cl 0.0000 0.5000 0.5000  2 Os 2.48
Cl 0.5000 0.0000 0.5000  2 Os 2.48


Entry 2:
A relaxed structure of Tb4Nd2C, computed with PBE-GGA.

Results
The value obtained for the magnetization is 0.00 Bohr magnetons per cell. As for the space-group type: No. 139. For the mass density, the calculation gives 7.235 g cm⁻³. The calculation puts the formation energy at 0.109 eV/atom. The polymorph energy (0 for the lowest one) comes out at 209 meV/atom.

Cell: 9.5964 9.5964 9.5964 Å, 150.42 150.42 42.33°
Closest atoms and distances in Å follow each position.
Sites, in units of the cell vectors:
Tb 0.0000 0.5000 0.5000  2 C 2.45
Tb 0.1335 0.1335 0.0000  1 C 2.39
Tb 0.5000 0.0000 0.5000  2 C 2.45
Tb 0.8665 0.8665 0.0000  1 C 2.39
Nd 0.3244 0.3244 0.0000  5 Tb 3.42-3.55
Nd 0.6756 0.6756 0.0000  5 Tb 3.42-3.55
C 0.0000 0.0000 0.0000  6 Tb 2.39-2.45


Entry 3:
A relaxed structure of AlTe2RuI, computed with PBE-GGA.

Results
The value obtained for the magnetization is 0.03 Bohr magnetons per cell. As for the space-group type: No. 123. For the mass density, the calculation gives 5.858 g cm⁻³. The formation energy without anion corrections comes out at 1.090 eV per atom. The polymorph energy (0 for the lowest one) comes out at 630 meV/atom.

Cell: 5.2458 5.2458 5.2549 Å, 90.00 90.00 90.00°
Closest atoms and distances in Å follow each position.
Sites, in units of the cell vectors:
Al 0.0000 0.0000 0.0000  4 Te 2.62, 2 I 2.63
Te 0.0000 0.5000 0.0000  2 Al 2.62
Te 0.5000 0.0000 0.0000  2 Al 2.62
Ru 0.5000 0.5000 0.5000  4 I 3.71, 8 Te 3.71
I 0.0000 0.0000 0.5000  2 Al 2.63


Entry 4:
A relaxed structure of TaCu2As2, computed with PBE-GGA.

Results
The value obtained for the magnetization is 0.00 Bohr magnetons per cell. As for the space-group type: No. 127. For the mass density, the calculation gives 9.650 g cm⁻³. The calculation puts the formation energy at 0.071 eV/atom.

Cell: 6.8431 6.8431 3.3650 Å, 90.00 90.00 90.00°
Closest atoms and distances in Å follow each position.
Sites, in units of the cell vectors:
Ta 0.0000 0.0000 0.0000  4 As 2.58
Ta 0.5000 0.5000 0.0000  4 As 2.58
Cu 0.1405 0.3595 0.5000  6 As 2.58-2.65, 1 Cu 2.72
Cu 0.3595 0.8595 0.5000  6 As 2.58-2.65, 1 Cu 2.72
Cu 0.6405 0.1405 0.5000  6 As 2.58-2.65, 1 Cu 2.72
Cu 0.8595 0.6405 0.5000  6 As 2.58-2.65, 1 Cu 2.72
As 0.1574 0.6574 0.0000  6 Cu 2.58-2.65, 2 Ta 2.58
As 0.3426 0.1574 0.0000  6 Cu 2.58-2.65, 2 Ta 2.58
As 0.6574 0.8426 0.0000  6 Cu 2.58-2.65, 2 Ta 2.58
As 0.8426 0.3426 0.0000  6 Cu 2.58-2.65, 2 Ta 2.58


Number 1: E_tot -4.08 eV per atom. Number 2: E_tot -5.22 eV per atom. Number 3: E_tot -3.08 eV per atom. Number 4: E_tot -5.80 eV per atom.